Computed, not measured: crystalline FeH2O2 at its relaxed geometry at the PBE with a Hubbard U level of DFT.

CIF file:
```
data_FeH2O2
_space_group_name_H-M_alt 'P 1'
_space_group_IT_number 1
_cell_length_a 5.7339
_cell_length_b 3.3115
_cell_length_c 4.6759
_cell_angle_alpha 90.00
_cell_angle_beta 90.15
_cell_angle_gamma 90.00
loop_
_space_group_symop_operation_xyz
'x,y,z'
loop_
_atom_site_label
_atom_site_fract_x
_atom_site_fract_y
_atom_site_fract_z
Fe1 0.0000 0.0000 0.0000
Fe2 0.5000 0.5000 0.0000
H1 0.1675 0.5000 0.4285
H2 0.3325 0.0000 0.5715
H3 0.6675 0.0000 0.4285
H4 0.8325 0.5000 0.5715
O1 0.1672 0.5000 0.2203
O2 0.3328 0.0000 0.7797
O3 0.6672 0.0000 0.2203
O4 0.8328 0.5000 0.7797
```

* E: -5.6458 eV/atom
* density: 3.4 Mg/m³
* space-group type: C2/m (12)
* magnetization: 4.00 μB/f.u.